# PBE-GGA Rb4Tb3MnTe8, relaxed
data_Rb4Tb3MnTe8
_cell_length_a 8.9501
_cell_length_b 9.9836
_cell_length_c 8.9504
_cell_angle_alpha 116.64
_cell_angle_beta 120.00
_cell_angle_gamma 90.00
_symmetry_space_group_name_H-M 'P 1'
_symmetry_Int_Tables_number 1
loop_
_symmetry_equiv_pos_as_xyz
'x,y,z'
loop_
_atom_site_label
_atom_site_type_symbol
_atom_site_fract_x
_atom_site_fract_y
_atom_site_fract_z
_atom_site_occupancy
Rb1 Rb 0.5000 0.0000 0.0000 1
Rb2 Rb 0.5000 0.0000 0.5000 1
Rb3 Rb 0.0000 0.0000 0.0000 1
Rb4 Rb 0.0000 0.0000 0.5000 1
Tb1 Tb 0.5000 0.5000 0.0000 1
Tb2 Tb 0.5000 0.5000 0.5000 1
Tb3 Tb 0.0000 0.5000 0.5000 1
Mn1 Mn 0.0000 0.5000 0.0000 1
Te1 Te 0.2216 0.6912 0.9695 1
Te2 Te 0.2218 0.6913 0.4436 1
Te3 Te 0.2658 0.2973 0.5315 1
Te4 Te 0.7479 0.6912 0.9695 1
Te5 Te 0.2521 0.3088 0.0305 1
Te6 Te 0.7342 0.7027 0.4685 1
Te7 Te 0.7782 0.3087 0.5564 1
Te8 Te 0.7784 0.3088 0.0305 1
# V   592.59 Å³/f.u.
# VASP energy   -4.382 eV/atom